Compound: SiHF
Source: Alexandria
Functional: PBE
Structure: optimized geometry

abc: 10.088 4.006 4.805
angles: 90.00 90.00 90.00
Fractional positions:
Si 0.016 0.250 0.129
Si 0.484 0.750 0.629
Si 0.516 0.250 0.371
Si 0.984 0.750 0.871
H 0.071 0.750 0.621
H 0.429 0.250 0.121
H 0.571 0.750 0.879
H 0.929 0.250 0.379
F 0.170 0.250 0.237
F 0.330 0.750 0.737
F 0.670 0.250 0.263
F 0.830 0.750 0.763

## Properties
Symmetry: Pnma
Calculated total energy in eV/f.u.: -14.1
Energy above the lowest structure with this stoichiometry in eV per atom: 0.070